## K2GaOsS (PBE-GGA)

Data for a relaxed structure of K2GaOsS.

Cell: 6.0192 6.0192 4.7741 Å, 90.00 90.00 90.00°
Last column: nearest neighbours and their distance in Å.
Space group P4/mmm (No. 123)
Inequivalent atoms, fractional coordinates:
K 0.0000 0.5000 0.0000  2 Ga 3.01
Ga 0.0000 0.0000 0.0000  2 Os 2.39
Os 0.0000 0.0000 0.5000  2 Ga 2.39
S 0.5000 0.5000 0.5000  8 K 3.84, 4 Os 4.26

Values from the calculation:
D(E_F) (states/eV per cell): 4.81
Volume (Å³/cell): 173
Formation energy from raw total energies (eV per atom): 0.806
ρ (g/cm3): 3.55